## AlSi2Ni (GGA-PBE)

Data for crystalline AlSi2Ni at its relaxed geometry.

Results
Space group: Pmmm, No. 47
DOS(E_F) (states/eV per cell): 1.623
Total DFT energy (no corrections) (eV/cell): -20.185
Crystal system: orthorhombic

Unit cell a=3.6858 b=3.7100 c=3.8682 alpha=90.00 beta=90.00 gamma=90.00
Closest atoms and distances in Å follow each position.
Positions (direct):
Al (0.0000, 0.0000, 0.0000)  8 Si 2.61-2.68, 4 Ni 2.67
Si (0.0000, 0.5000, 0.5000)  4 Ni 2.61, 4 Si 2.67, 4 Al 2.68
Si (0.5000, 0.5000, 0.0000)  4 Al 2.61, 4 Si 2.67, 4 Ni 2.68
Ni (0.5000, 0.0000, 0.5000)  8 Si 2.61-2.68, 4 Al 2.67